RbTl8In2 PBE optimized geometry; energy relative to the elements = 0.008 eV/atom; volume = 34.05 Å³/atom; density = 8.65 g cm⁻³; offset from the most stable computed form = 0 meV/atom; density of states at the Fermi level = 5.8 states/eV/cell
1.0
-4.576 3.321 5.320
-3.126 -6.092 1.114
5.896 1.796 4.766
In Tl Rb
2 8 1
direct
0.230 0.743 0.485
0.770 0.257 0.515
0.794 0.485 0.969
0.517 0.885 0.239
0.517 0.354 0.239
0.180 0.264 0.528
0.483 0.115 0.761
0.820 0.736 0.472
0.483 0.646 0.761
0.206 0.515 0.031
0.000 0.000 0.000